Record 1
This record from Alexandria via LeMat-Bulk describes MnRe3Ru after structural relaxation. The functional is GGA-PBE.

## Properties
density: 14.29 g/cm³
formation enthalpy at 0 K: 1.58 eV per atom

Structure (POSCAR):
```
MnRe3Ru
1.0
4.363 0.000 0.000
0.000 4.363 0.000
0.000 0.000 4.363
Mn Re Ru
1 3 1
Cartesian
0.000 0.000 0.000 Mn
0.000 0.000 2.182 Re
0.000 2.182 0.000 Re
2.182 0.000 0.000 Re
2.182 2.182 2.182 Ru
```


Record 2
This record from Alexandria via LeMat-Bulk describes MnReRu2 after structural relaxation. The functional is GGA-PBE.

## Properties
density: 12.88 g/cm³
formation enthalpy at 0 K: 0.21 eV per atom

Structure (POSCAR):
```
MnReRu2
1.0
0.000 3.057 3.057
3.057 0.000 3.057
3.057 3.057 0.000
Mn Re Ru
1 1 2
Cartesian
0.000 0.000 0.000 Mn
3.057 3.057 3.057 Re
1.529 1.529 1.529 Ru
4.586 4.586 4.586 Ru
```


Q: What is the density in the second record?
A: 12.88 g/cm³